# PmNd2Y5Tm | Alexandria via LeMat-Bulk | PBE | optimized geometry
# Calculated formation energy   0.256 eV/atom
# N(E_F)   11.3 states/eV/f.u.
# Energy   -97.55 eV per cell
data_PmNd2Y5Tm
_chemical_formula_sum 'Pm2 Nd4 Y10 Tm2'
_cell_length_a 9.952
_cell_length_b 9.952
_cell_length_c 9.952
_cell_angle_alpha 127.86
_cell_angle_beta 127.86
_cell_angle_gamma 76.86
_symmetry_space_group_name_H-M 'P 1'
_symmetry_Int_Tables_number 1
_symmetry_space_group_name_Hall 'P 1'
loop_
_atom_site_label
_atom_site_type_symbol
_atom_site_fract_x
_atom_site_fract_y
_atom_site_fract_z
_atom_site_occupancy
Pm1 Pm 0.250 0.250 0.000 1
Pm2 Pm 0.750 0.750 0.000 1
Nd1 Nd 0.117 0.617 0.734 1
Nd2 Nd 0.383 0.117 0.500 1
Nd3 Nd 0.617 0.883 0.500 1
Nd4 Nd 0.883 0.383 0.266 1
Y1 Y 0.000 0.000 0.000 1
Y2 Y 0.072 0.152 0.500 1
Y3 Y 0.152 0.652 0.080 1
Y4 Y 0.348 0.428 0.500 1
Y5 Y 0.428 0.928 0.080 1
Y6 Y 0.500 0.500 0.000 1
Y7 Y 0.572 0.072 0.920 1
Y8 Y 0.652 0.572 0.500 1
Y9 Y 0.848 0.348 0.920 1
Y10 Y 0.928 0.848 0.500 1
Tm1 Tm 0.250 0.750 0.500 1
Tm2 Tm 0.750 0.250 0.500 1

# ZrRuCl | Alexandria via LeMat-Bulk | PBE | optimized geometry
# N(E_F)   1.8 states/eV/f.u.
# Formation energy (no corrections)   -0.18 eV per atom
# Energy   -20.21 eV per cell
# Offset from the most stable computed form   30.29 kJ per mole of atoms
data_ZrRuCl
_chemical_formula_sum 'Zr1 Ru1 Cl1'
_cell_length_a 4.289
_cell_length_b 4.289
_cell_length_c 3.146
_cell_angle_alpha 90.00
_cell_angle_beta 90.00
_cell_angle_gamma 120.00
_symmetry_space_group_name_H-M 'P 1'
_symmetry_Int_Tables_number 1
_symmetry_space_group_name_Hall 'P 1'
loop_
_atom_site_label
_atom_site_type_symbol
_atom_site_fract_x
_atom_site_fract_y
_atom_site_fract_z
_atom_site_occupancy
Zr1 Zr 0.000 0.000 0.000 1
Ru1 Ru 0.333 0.667 0.500 1
Cl1 Cl 0.667 0.333 0.500 1

# Sr3Tl4Pd2 | Alexandria via LeMat-Bulk | PBE | optimized geometry
# Calculated formation energy   -0.436 eV/atom
# N(E_F)   5.0 states/eV/f.u.
# Energy   -28.82 eV per cell
data_Sr3Tl4Pd2
_chemical_formula_sum 'Sr3 Tl4 Pd2'
_cell_length_a 6.622
_cell_length_b 6.622
_cell_length_c 9.952
_cell_angle_alpha 112.39
_cell_angle_beta 112.39
_cell_angle_gamma 41.15
_symmetry_space_group_name_H-M 'P 1'
_symmetry_Int_Tables_number 1
_symmetry_space_group_name_Hall 'P 1'
loop_
_atom_site_label
_atom_site_type_symbol
_atom_site_fract_x
_atom_site_fract_y
_atom_site_fract_z
_atom_site_occupancy
Sr1 Sr 0.000 0.000 0.000 1
Sr2 Sr 0.312 0.312 0.371 1
Sr3 Sr 0.688 0.688 0.629 1
Tl1 Tl 0.018 0.018 0.350 1
Tl2 Tl 0.265 0.265 0.912 1
Tl3 Tl 0.735 0.735 0.088 1
Tl4 Tl 0.982 0.982 0.650 1
Pd1 Pd 0.396 0.396 0.733 1
Pd2 Pd 0.604 0.604 0.267 1

# Ta2OsSe | Alexandria via LeMat-Bulk | PBE | optimized geometry
# N(E_F)   2.7 states/eV/f.u.
# Formation energy (no corrections)   -0.05 eV per atom
# Energy   -38.61 eV per cell
data_Ta2OsSe
_chemical_formula_sum 'Ta2 Os1 Se1'
_cell_length_a 3.257
_cell_length_b 3.257
_cell_length_c 6.522
_cell_angle_alpha 90.00
_cell_angle_beta 90.00
_cell_angle_gamma 90.00
_symmetry_space_group_name_H-M 'P 1'
_symmetry_Int_Tables_number 1
_symmetry_space_group_name_Hall 'P 1'
loop_
_atom_site_label
_atom_site_type_symbol
_atom_site_fract_x
_atom_site_fract_y
_atom_site_fract_z
_atom_site_occupancy
Ta1 Ta 0.000 0.000 0.000 1
Ta2 Ta 0.500 0.500 0.297 1
Os1 Os 0.000 0.000 0.496 1
Se1 Se 0.500 0.500 0.805 1

# MgIn3 | Alexandria via LeMat-Bulk | PBE | optimized geometry
# Calculated formation energy   -0.016 eV/atom
# N(E_F)   1.8 states/eV/f.u.
# Energy   -19.75 eV per cell
data_MgIn3
_chemical_formula_sum 'Mg2 In6'
_cell_length_a 6.482
_cell_length_b 6.482
_cell_length_c 5.560
_cell_angle_alpha 90.00
_cell_angle_beta 90.00
_cell_angle_gamma 120.00
_symmetry_space_group_name_H-M 'P 1'
_symmetry_Int_Tables_number 1
_symmetry_space_group_name_Hall 'P 1'
loop_
_atom_site_label
_atom_site_type_symbol
_atom_site_fract_x
_atom_site_fract_y
_atom_site_fract_z
_atom_site_occupancy
Mg1 Mg 0.333 0.667 0.250 1
Mg2 Mg 0.667 0.333 0.750 1
In1 In 0.167 0.334 0.750 1
In2 In 0.167 0.833 0.750 1
In3 In 0.334 0.167 0.250 1
In4 In 0.666 0.833 0.750 1
In5 In 0.833 0.167 0.250 1
In6 In 0.833 0.666 0.250 1

# Tm4ThMg5 | Alexandria via LeMat-Bulk | PBE | optimized geometry
# Calculated formation energy   -0.028 eV/atom
# N(E_F)   13.1 states/eV/f.u.
# Energy   -33.56 eV per cell
data_Tm4ThMg5
_chemical_formula_sum 'Tm4 Th1 Mg5'
_cell_length_a 3.749
_cell_length_b 3.749
_cell_length_c 19.044
_cell_angle_alpha 90.00
_cell_angle_beta 90.00
_cell_angle_gamma 90.00
_symmetry_space_group_name_H-M 'P 1'
_symmetry_Int_Tables_number 1
_symmetry_space_group_name_Hall 'P 1'
loop_
_atom_site_label
_atom_site_type_symbol
_atom_site_fract_x
_atom_site_fract_y
_atom_site_fract_z
_atom_site_occupancy
Tm1 Tm 0.000 0.000 0.099 1
Tm2 Tm 0.000 0.000 0.296 1
Tm3 Tm 0.000 0.000 0.704 1
Tm4 Tm 0.000 0.000 0.901 1
Th1 Th 0.000 0.000 0.500 1
Mg1 Mg 0.500 0.500 0.000 1
Mg2 Mg 0.500 0.500 0.197 1
Mg3 Mg 0.500 0.500 0.392 1
Mg4 Mg 0.500 0.500 0.608 1
Mg5 Mg 0.500 0.500 0.803 1

# HfTi2Re | Alexandria via LeMat-Bulk | PBE | optimized geometry
# Calculated formation energy   -0.184 eV/atom
# N(E_F)   4.4 states/eV/f.u.
# Energy   -38.93 eV per cell
# Offset from the most stable computed form   6.86 kJ per mole of atoms
data_HfTi2Re
_chemical_formula_sum 'Hf1 Ti2 Re1'
_cell_length_a 3.171
_cell_length_b 3.171
_cell_length_c 6.916
_cell_angle_alpha 90.00
_cell_angle_beta 90.00
_cell_angle_gamma 90.00
_symmetry_space_group_name_H-M 'P 1'
_symmetry_Int_Tables_number 1
_symmetry_space_group_name_Hall 'P 1'
loop_
_atom_site_label
_atom_site_type_symbol
_atom_site_fract_x
_atom_site_fract_y
_atom_site_fract_z
_atom_site_occupancy
Hf1 Hf 0.000 0.000 0.000 1
Ti1 Ti 0.500 0.500 0.288 1
Ti2 Ti 0.500 0.500 0.712 1
Re1 Re 0.000 0.000 0.500 1

# Pr3Dy5H12 | Alexandria via LeMat-Bulk | PBE | optimized geometry
# N(E_F)   15.2 states/eV/f.u.
# Energy   -346.51 eV per cell
data_Pr3Dy5H12
_chemical_formula_sum 'Pr12 Dy20 H48'
_cell_length_a 11.568
_cell_length_b 11.568
_cell_length_c 11.568
_cell_angle_alpha 109.47
_cell_angle_beta 109.47
_cell_angle_gamma 109.47
_symmetry_space_group_name_H-M 'P 1'
_symmetry_Int_Tables_number 1
_symmetry_space_group_name_Hall 'P 1'
loop_
_atom_site_label
_atom_site_type_symbol
_atom_site_fract_x
_atom_site_fract_y
_atom_site_fract_z
_atom_site_occupancy
Pr1 Pr 0.125 0.250 0.375 1
Pr2 Pr 0.125 0.375 0.750 1
Pr3 Pr 0.250 0.375 0.125 1
Pr4 Pr 0.250 0.875 0.625 1
Pr5 Pr 0.375 0.125 0.250 1
Pr6 Pr 0.375 0.750 0.125 1
Pr7 Pr 0.625 0.250 0.875 1
Pr8 Pr 0.625 0.875 0.750 1
Pr9 Pr 0.750 0.125 0.375 1
Pr10 Pr 0.750 0.625 0.875 1
Pr11 Pr 0.875 0.625 0.250 1
Pr12 Pr 0.875 0.750 0.625 1
Dy1 Dy 0.000 0.000 0.000 1
Dy2 Dy 0.000 0.000 0.500 1
Dy3 Dy 0.000 0.500 0.000 1
Dy4 Dy 0.000 0.500 0.500 1
Dy5 Dy 0.125 0.750 0.875 1
Dy6 Dy 0.125 0.875 0.250 1
Dy7 Dy 0.250 0.125 0.875 1
Dy8 Dy 0.250 0.625 0.375 1
Dy9 Dy 0.375 0.250 0.625 1
Dy10 Dy 0.375 0.625 0.750 1
Dy11 Dy 0.500 0.000 0.000 1
Dy12 Dy 0.500 0.000 0.500 1
Dy13 Dy 0.500 0.500 0.000 1
Dy14 Dy 0.500 0.500 0.500 1
Dy15 Dy 0.625 0.375 0.250 1
Dy16 Dy 0.625 0.750 0.375 1
Dy17 Dy 0.750 0.375 0.625 1
Dy18 Dy 0.750 0.875 0.125 1
Dy19 Dy 0.875 0.125 0.750 1
Dy20 Dy 0.875 0.250 0.125 1
H1 H 0.058 0.219 0.144 1
H2 H 0.058 0.339 0.914 1
H3 H 0.075 0.719 0.661 1
H4 H 0.075 0.856 0.414 1
H5 H 0.086 0.644 0.425 1
H6 H 0.086 0.942 0.661 1
H7 H 0.144 0.058 0.219 1
H8 H 0.144 0.586 0.925 1
H9 H 0.161 0.219 0.575 1
H10 H 0.161 0.442 0.586 1
H11 H 0.219 0.144 0.058 1
H12 H 0.219 0.575 0.161 1
H13 H 0.281 0.339 0.925 1
H14 H 0.281 0.442 0.356 1
H15 H 0.339 0.914 0.058 1
H16 H 0.339 0.925 0.281 1
H17 H 0.356 0.281 0.442 1
H18 H 0.356 0.575 0.914 1
H19 H 0.414 0.075 0.856 1
H20 H 0.414 0.839 0.558 1
H21 H 0.425 0.086 0.644 1
H22 H 0.425 0.839 0.781 1
H23 H 0.442 0.356 0.281 1
H24 H 0.442 0.586 0.161 1
H25 H 0.558 0.414 0.839 1
H26 H 0.558 0.644 0.719 1
H27 H 0.575 0.161 0.219 1
H28 H 0.575 0.914 0.356 1
H29 H 0.586 0.161 0.442 1
H30 H 0.586 0.925 0.144 1
H31 H 0.644 0.425 0.086 1
H32 H 0.644 0.719 0.558 1
H33 H 0.661 0.075 0.719 1
H34 H 0.661 0.086 0.942 1
H35 H 0.719 0.558 0.644 1
H36 H 0.719 0.661 0.075 1
H37 H 0.781 0.425 0.839 1
H38 H 0.781 0.856 0.942 1
H39 H 0.839 0.558 0.414 1
H40 H 0.839 0.781 0.425 1
H41 H 0.856 0.414 0.075 1
H42 H 0.856 0.942 0.781 1
H43 H 0.914 0.058 0.339 1
H44 H 0.914 0.356 0.575 1
H45 H 0.925 0.144 0.586 1
H46 H 0.925 0.281 0.339 1
H47 H 0.942 0.661 0.086 1
H48 H 0.942 0.781 0.856 1

# BaScTe2H | Alexandria via LeMat-Bulk | PBE | optimized geometry
# Energy   -23.62 eV per cell
data_BaScTe2H
_chemical_formula_sum 'Ba1 Sc1 Te2 H1'
_cell_length_a 5.774
_cell_length_b 5.774
_cell_length_c 4.264
_cell_angle_alpha 90.00
_cell_angle_beta 90.00
_cell_angle_gamma 90.00
_symmetry_space_group_name_H-M 'P 1'
_symmetry_Int_Tables_number 1
_symmetry_space_group_name_Hall 'P 1'
loop_
_atom_site_label
_atom_site_type_symbol
_atom_site_fract_x
_atom_site_fract_y
_atom_site_fract_z
_atom_site_occupancy
Ba1 Ba 0.000 0.000 0.000 1
Sc1 Sc 0.500 0.500 0.500 1
Te1 Te 0.000 0.500 0.500 1
Te2 Te 0.500 0.000 0.500 1
H1 H 0.500 0.500 0.000 1

# Rb3InSi | Alexandria via LeMat-Bulk | PBE | optimized geometry
# N(E_F)   5.4 states/eV/f.u.
# Formation energy (no corrections)   0.50 eV per atom
# Energy   -8.57 eV per cell
# Offset from the most stable computed form   0.00 kJ per mole of atoms
data_Rb3InSi
_chemical_formula_sum 'Rb3 In1 Si1'
_cell_length_a 6.789
_cell_length_b 6.789
_cell_length_c 6.789
_cell_angle_alpha 90.00
_cell_angle_beta 90.00
_cell_angle_gamma 90.00
_symmetry_space_group_name_H-M 'P 1'
_symmetry_Int_Tables_number 1
_symmetry_space_group_name_Hall 'P 1'
loop_
_atom_site_label
_atom_site_type_symbol
_atom_site_fract_x
_atom_site_fract_y
_atom_site_fract_z
_atom_site_occupancy
Rb1 Rb 0.000 0.000 0.500 1
Rb2 Rb 0.000 0.500 0.000 1
Rb3 Rb 0.500 0.000 0.000 1
In1 In 0.500 0.500 0.500 1
Si1 Si 0.000 0.000 0.000 1

# TbYTmAg | Alexandria via LeMat-Bulk | PBE | optimized geometry
# Calculated formation energy   0.050 eV/atom
# N(E_F)   3.6 states/eV/f.u.
# Energy   -72.87 eV per cell
# Offset from the most stable computed form   17.98 kJ per mole of atoms
data_TbYTmAg
_chemical_formula_sum 'Tb4 Y4 Tm4 Ag4'
_cell_length_a 7.587
_cell_length_b 7.587
_cell_length_c 7.587
_cell_angle_alpha 90.00
_cell_angle_beta 90.00
_cell_angle_gamma 90.00
_symmetry_space_group_name_H-M 'P 1'
_symmetry_Int_Tables_number 1
_symmetry_space_group_name_Hall 'P 1'
loop_
_atom_site_label
_atom_site_type_symbol
_atom_site_fract_x
_atom_site_fract_y
_atom_site_fract_z
_atom_site_occupancy
Tb1 Tb 0.000 0.000 0.000 1
Tb2 Tb 0.000 0.500 0.500 1
Tb3 Tb 0.500 0.000 0.500 1
Tb4 Tb 0.500 0.500 0.000 1
Y1 Y 0.000 0.000 0.500 1
Y2 Y 0.000 0.500 0.000 1
Y3 Y 0.500 0.000 0.000 1
Y4 Y 0.500 0.500 0.500 1
Tm1 Tm 0.250 0.250 0.250 1
Tm2 Tm 0.250 0.750 0.750 1
Tm3 Tm 0.750 0.250 0.750 1
Tm4 Tm 0.750 0.750 0.250 1
Ag1 Ag 0.250 0.250 0.750 1
Ag2 Ag 0.250 0.750 0.250 1
Ag3 Ag 0.750 0.250 0.250 1
Ag4 Ag 0.750 0.750 0.750 1

# K2In7Hg | Alexandria via LeMat-Bulk | PBE | optimized geometry
# Calculated formation energy   -0.119 eV/atom
# N(E_F)   5.7 states/eV/f.u.
# Energy   -22.85 eV per cell
data_K2In7Hg
_chemical_formula_sum 'K2 In7 Hg1'
_cell_length_a 5.031
_cell_length_b 5.031
_cell_length_c 12.394
_cell_angle_alpha 90.00
_cell_angle_beta 90.00
_cell_angle_gamma 90.00
_symmetry_space_group_name_H-M 'P 1'
_symmetry_Int_Tables_number 1
_symmetry_space_group_name_Hall 'P 1'
loop_
_atom_site_label
_atom_site_type_symbol
_atom_site_fract_x
_atom_site_fract_y
_atom_site_fract_z
_atom_site_occupancy
K1 K 0.000 0.500 0.247 1
K2 K 0.500 0.000 0.753 1
In1 In 0.000 0.000 0.000 1
In2 In 0.000 0.000 0.500 1
In3 In 0.000 0.500 0.635 1
In4 In 0.000 0.500 0.869 1
In5 In 0.500 0.000 0.131 1
In6 In 0.500 0.000 0.365 1
In7 In 0.500 0.500 0.500 1
Hg1 Hg 0.500 0.500 0.000 1